Record 1
8
Lattice="1.564 -8.374 0.000 1.564 8.374 0.000 0.000 0.000 3.541" Properties=species:S:1:pos:R:3 comment="ScMn2C | Alexandria via LeMat-Bulk | PBE-GGA | relaxed" energy_ev_per_atom=-8.539 total_magnetization_mub_per_atom=0.245 sg="Cmcm, No. 63" dos_at_fermi_per_ev_atom=0.59 pbc="T T T"
Sc 1.564 6.452 2.656
Sc 1.564 -6.452 0.885
Mn 1.564 4.179 0.885
Mn 1.564 0.567 2.656
Mn 1.564 -0.567 0.885
Mn 1.564 -4.179 2.656
C 1.564 2.902 2.656
C 1.564 -2.902 0.885

=====

Record 2
4
Lattice="1.615 0.932 8.107 -1.615 0.932 8.107 0.000 -1.864 8.107" Properties=species:S:1:pos:R:3 comment="Sc2MnC | Alexandria via LeMat-Bulk | PBE-GGA | relaxed" energy_ev_per_atom=-7.706 total_magnetization_mub_per_atom=0.817 sg="R-3m, No. 166" dos_at_fermi_per_ev_atom=1.04 pbc="T T T"
Sc 0.000 0.000 2.823
Sc 0.000 0.000 21.499
Mn 0.000 0.000 0.000
C 0.000 0.000 12.161

=====

Record 3
10
Lattice="3.136 -4.006 0.000 3.136 4.006 0.000 -2.910 0.000 4.284" Properties=species:S:1:pos:R:3 comment="ScMn2C2 | Alexandria via LeMat-Bulk | PBE-GGA | relaxed" energy_ev_per_atom=-8.935 total_magnetization_mub_per_atom=0.000 sg="C2/c, No. 15" dos_at_fermi_per_ev_atom=0.73 pbc="T T T"
Sc 0.954 3.004 3.213
Sc 2.409 -3.004 1.071
Mn -0.614 0.953 4.169
Mn 0.841 -0.953 2.027
Mn 2.521 0.953 2.257
Mn 3.977 -0.953 0.115
C 2.409 2.566 1.071
C 0.954 0.636 3.213
C 2.409 -0.636 1.071
C 0.954 -2.566 3.213

=====

Record 4
10
Lattice="2.904 -4.325 0.000 2.904 4.325 0.000 0.000 0.000 4.901" Properties=species:S:1:pos:R:3 comment="ScMn3C | Alexandria via LeMat-Bulk | PBE-GGA | relaxed" energy_ev_per_atom=-8.279 total_magnetization_mub_per_atom=0.516 sg="Cmcm, No. 63" dos_at_fermi_per_ev_atom=0.98 pbc="T T T"
Sc 2.904 3.758 3.675
Sc 2.904 -3.758 1.225
Mn 1.810 2.428 1.225
Mn 3.999 2.428 1.225
Mn 2.904 0.000 0.000
Mn 2.904 0.000 2.450
Mn 1.810 -2.428 3.675
Mn 3.999 -2.428 3.675
C 2.904 1.525 3.675
C 2.904 -1.525 1.225

=====

Record 5
8
Lattice="-1.595 3.215 4.136 1.595 -3.215 4.136 1.595 3.215 -4.136" Properties=species:S:1:pos:R:3 comment="ScMn5C2 | Alexandria via LeMat-Bulk | PBE-GGA | relaxed" energy_ev_per_atom=-8.853 total_magnetization_mub_per_atom=0.769 sg="Immm, No. 71" dos_at_fermi_per_ev_atom=1.08 pbc="T T T"
Sc 0.000 0.000 0.000
Mn 1.595 2.006 -1.313
Mn 1.595 2.006 1.313
Mn 0.000 3.215 0.000
Mn 0.000 1.209 2.823
Mn 0.000 1.209 5.450
C 1.595 0.000 2.037
C 0.000 3.215 2.100

=====

Record 6
7
Lattice="-1.909 1.909 6.737 1.909 -1.909 6.737 1.909 1.909 -6.737" Properties=species:S:1:pos:R:3 comment="Sc2Mn2Si2C | Alexandria via LeMat-Bulk | PBE-GGA | relaxed" energy_ev_per_atom=-7.864 total_magnetization_mub_per_atom=0.185 sg="I4/mmm, No. 139" dos_at_fermi_per_ev_atom=0.87 pbc="T T T"
Sc 0.000 0.000 2.290
Sc 0.000 0.000 11.185
Mn 1.909 0.000 0.000
Mn 0.000 1.909 0.000
Si 0.000 0.000 5.154
Si 0.000 0.000 8.321
C 0.000 0.000 0.000